HoThCoSe after structural relaxation. Source: Alexandria via LeMat-Bulk, functional PBE.

Output
Energy relative to the elements, uncorrected   -0.913 eV per atom
SG   R3m, No. 160

abc: 3.943 3.943 7.544
angles: 90.00 105.15 120.00
Atoms (fractional coordinates):
Th (0.334, 0.565, 0.914)
Co (0.131, 0.964, 0.110)
Se (0.465, 0.131, 0.611)
Ho (0.948, 0.372, 0.335)



TlVTe2 after structural relaxation. Source: Alexandria via LeMat-Bulk, functional PBE.

Output
Energy relative to the elements, uncorrected   -0.133 eV per atom
SG   I-42d, No. 122

abc: 7.807 7.807 7.204
angles: 57.19 57.19 90.00
Atoms (fractional coordinates):
V (0.500, 0.500, 0.000)
Tl (0.000, 0.000, 0.000)
V (0.250, 0.750, 0.500)
Te (0.205, 0.625, 0.250)
Te (0.875, 0.795, 0.750)
Te (0.375, 0.455, 0.750)
Tl (0.750, 0.250, 0.500)
Te (0.545, 0.125, 0.250)